Below is a relaxed structure of LuPdI2O2, with properties calculated at the PBE level.

Calculated values
Total energy = -5.128 eV/atom
Total magnetization = 0.01 μB/f.u.
Density = 6.9 Mg/m³

Cell lengths 9.794, 9.794, 7.268 Å; angles 98.48, 98.48, 23.23 degrees
Positions (direct):
O: 0.756 0.756 0.377
O: 0.779 0.779 0.880
O: 0.221 0.221 0.120
O: 0.244 0.244 0.623
Lu: 0.701 0.701 0.622
Lu: 0.299 0.299 0.378
Pd: 0.689 0.689 0.123
Pd: 0.311 0.311 0.877
I: 0.416 0.416 0.146
I: 0.912 0.912 0.637
I: 0.088 0.088 0.363
I: 0.584 0.584 0.854